# 1
# GGA-PBE Mn2CrNiH, optimized geometry
data_Mn2CrNiH
_symmetry_space_group_name_H-M 'P 4/m m m'
_symmetry_Int_Tables_number 123
_symmetry_space_group_name_Hall '-P 4 2'
_cell_length_a 3.5684
_cell_length_b 3.5684
_cell_length_c 3.6013
_cell_angle_alpha 90.00
_cell_angle_beta 90.00
_cell_angle_gamma 90.00
loop_
_atom_site_label
_atom_site_fract_x
_atom_site_fract_y
_atom_site_fract_z
Mn1 0.0000 0.5000 0.0000
Cr1 0.0000 0.0000 0.5000
Ni1 0.5000 0.5000 0.5000
H1 0.0000 0.0000 0.0000
# * magnetic moment: 0.000 μB/atom
# * relative energy among the computed polymorphs: 87 meV per atom



# 2
# GGA-PBE MnCrNi2H, optimized geometry
data_MnCrNi2H
_symmetry_space_group_name_H-M 'P 4/m m m'
_symmetry_Int_Tables_number 123
_symmetry_space_group_name_Hall '-P 4 2'
_cell_length_a 3.5889
_cell_length_b 3.5889
_cell_length_c 3.8327
_cell_angle_alpha 90.00
_cell_angle_beta 90.00
_cell_angle_gamma 90.00
loop_
_atom_site_label
_atom_site_fract_x
_atom_site_fract_y
_atom_site_fract_z
Mn1 0.0000 0.0000 0.0000
Cr1 0.5000 0.5000 0.0000
Ni1 0.0000 0.5000 0.5000
H1 0.5000 0.5000 0.5000
# * magnetic moment: 0.030 μB/atom
# * relative energy among the computed polymorphs: 0 meV per atom



# 3
# GGA-PBE Mn2CrNiH, optimized geometry
data_Mn2CrNiH
_symmetry_space_group_name_H-M 'P 4/m m m'
_symmetry_Int_Tables_number 123
_symmetry_space_group_name_Hall '-P 4 2'
_cell_length_a 3.7288
_cell_length_b 3.7288
_cell_length_c 3.5512
_cell_angle_alpha 90.00
_cell_angle_beta 90.00
_cell_angle_gamma 90.00
loop_
_atom_site_label
_atom_site_fract_x
_atom_site_fract_y
_atom_site_fract_z
Mn1 0.0000 0.5000 0.0000
Cr1 0.0000 0.0000 0.5000
Ni1 0.5000 0.5000 0.5000
H1 0.5000 0.5000 0.0000
# * magnetic moment: 0.477 μB/atom
# * relative energy among the computed polymorphs: 0 meV per atom



# 4
# GGA-PBE MnCrNi2H, optimized geometry
data_MnCrNi2H
_symmetry_space_group_name_H-M 'P 4/m m m'
_symmetry_Int_Tables_number 123
_symmetry_space_group_name_Hall '-P 4 2'
_cell_length_a 3.5811
_cell_length_b 3.5811
_cell_length_c 3.8221
_cell_angle_alpha 90.00
_cell_angle_beta 90.00
_cell_angle_gamma 90.00
loop_
_atom_site_label
_atom_site_fract_x
_atom_site_fract_y
_atom_site_fract_z
Mn1 0.0000 0.0000 0.0000
Cr1 0.5000 0.5000 0.0000
Ni1 0.0000 0.5000 0.5000
H1 0.0000 0.0000 0.5000
# * magnetic moment: 0.010 μB/atom
# * relative energy among the computed polymorphs: 16 meV per atom



# 5
# GGA-PBE MnCrHOs2, optimized geometry
data_MnCrHOs2
_symmetry_space_group_name_H-M 'P 4/m m m'
_symmetry_Int_Tables_number 123
_symmetry_space_group_name_Hall '-P 4 2'
_cell_length_a 3.8599
_cell_length_b 3.8599
_cell_length_c 3.7290
_cell_angle_alpha 90.00
_cell_angle_beta 90.00
_cell_angle_gamma 90.00
loop_
_atom_site_label
_atom_site_fract_x
_atom_site_fract_y
_atom_site_fract_z
Mn1 0.0000 0.0000 0.0000
Cr1 0.5000 0.5000 0.0000
H1 0.0000 0.0000 0.5000
Os1 0.0000 0.5000 0.5000
# * magnetic moment: 0.186 μB/atom
# * energy: -8.8081 eV per atom



# 6
# GGA-PBE Mn2CrHPd, optimized geometry
data_Mn2CrHPd
_symmetry_space_group_name_H-M 'P 4/m m m'
_symmetry_Int_Tables_number 123
_symmetry_space_group_name_Hall '-P 4 2'
_cell_length_a 3.6824
_cell_length_b 3.6824
_cell_length_c 3.7020
_cell_angle_alpha 90.00
_cell_angle_beta 90.00
_cell_angle_gamma 90.00
loop_
_atom_site_label
_atom_site_fract_x
_atom_site_fract_y
_atom_site_fract_z
Mn1 0.0000 0.5000 0.0000
Cr1 0.0000 0.0000 0.5000
H1 0.0000 0.0000 0.0000
Pd1 0.5000 0.5000 0.5000
# * magnetic moment: 0.102 μB/atom
# * energy: -7.1798 eV per atom



# 7
# GGA-PBE RbMnCr2H, optimized geometry
data_RbMnCr2H
_symmetry_space_group_name_H-M 'P 4/m m m'
_symmetry_Int_Tables_number 123
_symmetry_space_group_name_Hall '-P 4 2'
_cell_length_a 4.6042
_cell_length_b 4.6042
_cell_length_c 5.1889
_cell_angle_alpha 90.00
_cell_angle_beta 90.00
_cell_angle_gamma 90.00
loop_
_atom_site_label
_atom_site_fract_x
_atom_site_fract_y
_atom_site_fract_z
Rb1 0.0000 0.0000 0.0000
Mn1 0.5000 0.5000 0.5000
Cr1 0.0000 0.5000 0.5000
H1 0.5000 0.5000 0.0000
# * magnetic moment: 0.962 μB/atom
# * energy: -5.3790 eV per atom



# 8
# GGA-PBE MnCr2ReH, optimized geometry
data_MnCr2ReH
_symmetry_space_group_name_H-M 'P 4/m m m'
_symmetry_Int_Tables_number 123
_symmetry_space_group_name_Hall '-P 4 2'
_cell_length_a 3.7412
_cell_length_b 3.7412
_cell_length_c 3.6809
_cell_angle_alpha 90.00
_cell_angle_beta 90.00
_cell_angle_gamma 90.00
loop_
_atom_site_label
_atom_site_fract_x
_atom_site_fract_y
_atom_site_fract_z
Mn1 0.0000 0.0000 0.0000
Cr1 0.0000 0.5000 0.5000
Re1 0.5000 0.5000 0.0000
H1 0.0000 0.0000 0.5000
# * magnetic moment: 0.146 μB/atom
# * energy: -8.7513 eV per atom



# 9
# GGA-PBE Mn2CrHRh, optimized geometry
data_Mn2CrHRh
_symmetry_space_group_name_H-M 'P 4/m m m'
_symmetry_Int_Tables_number 123
_symmetry_space_group_name_Hall '-P 4 2'
_cell_length_a 3.7742
_cell_length_b 3.7742
_cell_length_c 3.7473
_cell_angle_alpha 90.00
_cell_angle_beta 90.00
_cell_angle_gamma 90.00
loop_
_atom_site_label
_atom_site_fract_x
_atom_site_fract_y
_atom_site_fract_z
Mn1 0.0000 0.5000 0.0000
Cr1 0.0000 0.0000 0.5000
H1 0.5000 0.5000 0.0000
Rh1 0.5000 0.5000 0.5000
# * magnetic moment: 0.408 μB/atom
# * relative energy among the computed polymorphs: 0 meV per atom



# 10
# GGA-PBE Mn2CrHRh, optimized geometry
data_Mn2CrHRh
_symmetry_space_group_name_H-M 'P 4/m m m'
_symmetry_Int_Tables_number 123
_symmetry_space_group_name_Hall '-P 4 2'
_cell_length_a 3.6482
_cell_length_b 3.6482
_cell_length_c 3.7055
_cell_angle_alpha 90.00
_cell_angle_beta 90.00
_cell_angle_gamma 90.00
loop_
_atom_site_label
_atom_site_fract_x
_atom_site_fract_y
_atom_site_fract_z
Mn1 0.0000 0.5000 0.0000
Cr1 0.0000 0.0000 0.5000
H1 0.0000 0.0000 0.0000
Rh1 0.5000 0.5000 0.5000
# * magnetic moment: 0.000 μB/atom
# * relative energy among the computed polymorphs: 76 meV per atom



# 11
# GGA-PBE MnCr2SbH, optimized geometry
data_MnCr2SbH
_symmetry_space_group_name_H-M 'P 4/m m m'
_symmetry_Int_Tables_number 123
_symmetry_space_group_name_Hall '-P 4 2'
_cell_length_a 3.8777
_cell_length_b 3.8777
_cell_length_c 3.8843
_cell_angle_alpha 90.00
_cell_angle_beta 90.00
_cell_angle_gamma 90.00
loop_
_atom_site_label
_atom_site_fract_x
_atom_site_fract_y
_atom_site_fract_z
Mn1 0.0000 0.0000 0.0000
Cr1 0.0000 0.5000 0.5000
Sb1 0.5000 0.5000 0.0000
H1 0.0000 0.0000 0.5000
# * magnetic moment: 1.040 μB/atom
# * energy: -7.0517 eV per atom



# 12
# GGA-PBE MnCr2SiH, optimized geometry
data_MnCr2SiH
_symmetry_space_group_name_H-M 'P 4/m m m'
_symmetry_Int_Tables_number 123
_symmetry_space_group_name_Hall '-P 4 2'
_cell_length_a 3.6304
_cell_length_b 3.6304
_cell_length_c 3.7584
_cell_angle_alpha 90.00
_cell_angle_beta 90.00
_cell_angle_gamma 90.00
loop_
_atom_site_label
_atom_site_fract_x
_atom_site_fract_y
_atom_site_fract_z
Mn1 0.0000 0.0000 0.0000
Cr1 0.0000 0.5000 0.5000
Si1 0.5000 0.5000 0.0000
H1 0.0000 0.0000 0.5000
# * magnetic moment: 0.697 μB/atom
# * energy: -7.5349 eV per atom